1.
VASP calculation (PBE) on Th3ZrSc12 after structural relaxation.

The space group is P4/mmm (No. 123) and the conventional cell measures 4.682, 4.682 and 18.721 Å, with angles of 90.00, 90.00 and 90.00 degrees. The asymmetric unit holds Th at (0.000, 0.000, 0.000), Th at (0.000, 0.000, 0.253), Zr at (0.000, 0.000, 0.500), Sc at (0.000, 0.500, 0.128), Sc at (0.000, 0.500, 0.382), Sc at (0.500, 0.500, 0.000), Sc at (0.500, 0.500, 0.254) and Sc at (0.500, 0.500, 0.500).

The total magnetization comes out at 0.00 Bohr magnetons per cell. The calculation puts the total energy at -0.48848 Ry per atom. As for the calculated formation energy: 0.03 eV/atom.

***

2.
VASP calculation (PBE) on ThZr3Sc2 after structural relaxation.

The space group is C2/m (No. 12) and the conventional cell measures 8.347, 16.145 and 5.754 Å, with angles of 90.00, 129.46 and 90.00 degrees. The asymmetric unit holds Th at (0.138, 0.000, 0.382), Zr at (0.131, 0.500, 0.902), Zr at (0.242, 0.339, 0.223), Sc at (0.000, 0.178, 0.000) and Sc at (0.000, 0.330, 0.500).

The total magnetization comes out at 0.00 Bohr magnetons per cell. The calculation puts the total energy at -0.55210 Ry per atom. As for the calculated formation energy: 0.11 eV/atom.

***

3.
VASP calculation (PBE) on ThZr3Sc4 after structural relaxation.

The space group is Pmmn (No. 59, origin choice 2) and the conventional cell measures 6.538, 9.147 and 6.554 Å, with angles of 90.00, 90.00 and 90.00 degrees. The asymmetric unit holds Th at (0.250, 0.250, 0.247), Zr at (0.000, 0.000, 0.500), Zr at (0.250, 0.750, 0.268), Sc at (0.000, 0.000, 0.000), Sc at (0.250, 0.250, 0.747) and Sc at (0.250, 0.750, 0.748).

The total magnetization comes out at 0.00 Bohr magnetons per cell. The calculation puts the total energy at -0.53499 Ry per atom. As for the calculated formation energy: 0.02 eV/atom.

***

4.
VASP calculation (PBE) on ThZr2Sc3 after structural relaxation.

The space group is Cmcm (No. 63) and the conventional cell measures 3.321, 17.164 and 10.655 Å, with angles of 90.00, 90.00 and 90.00 degrees. The asymmetric unit holds Th at (0.000, 0.214, 0.250), Zr at (0.000, 0.000, 0.000), Zr at (0.000, 0.445, 0.750), Sc at (0.000, 0.103, 0.750) and Sc at (0.000, 0.339, 0.009).

The total magnetization comes out at 0.00 Bohr magnetons per cell. As for the energy above the most stable polymorph in this dataset: 0.0290 eV per atom. The calculation puts the total energy at -0.52871 Ry per atom. As for the calculated formation energy: 0.06 eV/atom.